Entry 1:
VASP calculation (PBE) on a relaxed structure of LiPmThGe.

The space group is F-43m (No. 216) and the conventional cell measures 7.326, 7.326 and 7.326 Å, with angles of 90.00, 90.00 and 90.00 degrees. The distinct sites, in fractional coordinates, are Li at (0.000, 0.000, 0.000), Pm at (0.250, 0.250, 0.250), Th at (0.250, 0.250, 0.750) and Ge at (0.000, 0.000, 0.500).

Its total magnetic moment is 0.0 Bohr magnetons per cell. The value obtained for the density of states at the Fermi level is 2.8 states/eV/f.u. As for the calculated formation energy: -273.2 meV/atom.

Entry 2:
VASP calculation (PBE) on a relaxed structure of Li2PmTmGe2.

The space group is P-3m1 (No. 164) and the conventional cell measures 4.4269, 4.4269 and 7.2430 Å, with angles of 90.00, 90.00 and 120.00 degrees. The distinct sites, in fractional coordinates, are Li at (0.3333, 0.6667, 0.2171), Pm at (0.0000, 0.0000, 0.5000), Tm at (0.0000, 0.0000, 0.0000) and Ge at (0.3333, 0.6667, 0.7627).

Its total magnetic moment is 0.0 Bohr magnetons per cell. The value obtained for the density of states at the Fermi level is 1.3 states/eV/f.u. As for the calculated formation energy: -680.0 meV/atom.

Entry 3:
VASP calculation (PBE) on a relaxed structure of Li2PmTm2Ge2.

The space group is R-3m (No. 166, hexagonal axes) and the conventional cell measures 4.4922, 4.4922 and 26.4358 Å, with angles of 90.00, 90.00 and 120.00 degrees. The distinct sites, in fractional coordinates, are Li at (0.0000, 0.0000, 0.0933), Pm at (0.0000, 0.0000, 0.5000), Tm at (0.0000, 0.0000, 0.3714) and Ge at (0.0000, 0.0000, 0.2412).

Its total magnetic moment is 0.0 Bohr magnetons per cell. The value obtained for the density of states at the Fermi level is 3.0 states/eV/f.u. As for the calculated formation energy: -480.0 meV/atom.

Entry 4:
VASP calculation (PBE) on a relaxed structure of Li2Pm2TmGe2.

The space group is R-3m (No. 166, hexagonal axes) and the conventional cell measures 4.4083, 4.4083 and 28.7069 Å, with angles of 90.00, 90.00 and 120.00 degrees. The distinct sites, in fractional coordinates, are Li at (0.0000, 0.0000, 0.1125), Pm at (0.0000, 0.0000, 0.3777), Tm at (0.0000, 0.0000, 0.5000) and Ge at (0.0000, 0.0000, 0.2272).

Its total magnetic moment is 0.0 Bohr magnetons per cell. The value obtained for the density of states at the Fermi level is 3.6 states/eV/f.u. As for the calculated formation energy: -482.2 meV/atom.